No. 1
AcLaLu PBE-GGA optimized geometry; formation energy = 600 meV/atom
1.0
0.000 4.021 4.021
4.021 0.000 4.021
4.021 4.021 0.000
Ac La Lu
1 1 1
Direct
0.000 0.000 0.000
0.500 0.500 0.500
0.250 0.250 0.250

No. 2
NaLaCdS3 PBE-GGA optimized geometry; E = -4.59 eV per atom
1.0
2.095 -6.530 0.000
2.095 6.530 0.000
0.000 0.000 11.291
Na La Cd S
2 2 2 6
Direct
0.247 0.753 0.750
0.753 0.247 0.250
0.500 0.500 0.000
0.500 0.500 0.500
0.033 0.967 0.250
0.967 0.033 0.750
0.139 0.861 0.068
0.139 0.861 0.432
0.416 0.584 0.250
0.584 0.416 0.750
0.861 0.139 0.568
0.861 0.139 0.932

No. 3
Sm2Br PBE-GGA optimized geometry; E = -2.62 eV per atom
1.0
0.000 6.390 6.390
6.390 0.000 6.390
6.390 6.390 0.000
Sm Br
4 2
Direct
0.000 0.000 0.000
0.000 0.000 0.500
0.000 0.500 0.000
0.500 0.000 0.000
0.125 0.125 0.125
0.875 0.875 0.875

No. 4
Hf4Sc2Tl3N3 PBE-GGA optimized geometry; E = -8.07 eV per atom
1.0
4.958 -2.862 0.000
4.958 2.862 0.000
-3.314 0.000 14.546
Hf Sc Tl N
8 4 6 6
Direct
0.022 0.198 0.080
0.144 0.307 0.420
0.198 0.022 0.580
0.307 0.144 0.920
0.693 0.856 0.080
0.802 0.978 0.420
0.856 0.693 0.580
0.978 0.802 0.920
0.365 0.528 0.083
0.472 0.635 0.417
0.528 0.365 0.583
0.635 0.472 0.917
0.079 0.921 0.250
0.248 0.415 0.749
0.415 0.248 0.249
0.585 0.752 0.751
0.752 0.585 0.251
0.921 0.079 0.750
0.000 0.500 0.000
0.162 0.669 0.500
0.331 0.838 0.000
0.500 0.000 0.500
0.669 0.162 0.000
0.838 0.331 0.500

No. 5
NdTcO3F PBE-GGA optimized geometry; E = -7.68 eV per atom
1.0
4.215 0.000 0.000
-0.541 5.716 0.000
-1.958 -2.478 5.921
Nd Tc O F
2 2 6 2
Direct
0.164 0.173 0.353
0.836 0.827 0.647
0.300 0.593 0.114
0.700 0.407 0.886
0.032 0.222 0.970
0.260 0.602 0.389
0.375 0.080 0.693
0.625 0.920 0.307
0.740 0.398 0.611
0.968 0.778 0.030
0.342 0.628 0.800
0.658 0.372 0.200

No. 6
TlInAg2S4 PBE-GGA optimized geometry; E = -3.70 eV per atom
1.0
-2.971 2.971 5.854
2.971 -2.971 5.854
2.971 2.971 -5.854
Tl In Ag S
1 1 2 4
Direct
0.000 0.000 0.000
0.750 0.250 0.500
0.250 0.750 0.500
0.500 0.500 0.000
0.120 0.616 0.992
0.384 0.376 0.504
0.624 0.128 0.008
0.872 0.880 0.496

No. 7
LuCuRe PBE-GGA optimized geometry; formation energy = 988 meV/atom
1.0
0.000 3.160 3.160
3.160 0.000 3.160
3.160 3.160 0.000
Lu Cu Re
1 1 1
Direct
0.000 0.000 0.000
0.500 0.500 0.500
0.750 0.750 0.750

No. 8
NaCuTeWS2 PBE-GGA optimized geometry; E = -5.25 eV per atom
1.0
1.718 -7.307 0.000
1.718 7.307 0.000
0.000 0.000 9.756
Na Cu Te W S
2 2 2 2 4
Direct
0.212 0.788 0.750
0.788 0.212 0.250
0.466 0.534 0.250
0.534 0.466 0.750
0.101 0.899 0.250
0.899 0.101 0.750
0.000 0.000 0.000
0.000 0.000 0.500
0.385 0.615 0.056
0.385 0.615 0.444
0.615 0.385 0.556
0.615 0.385 0.944

No. 9
NpCo3 PBE-GGA optimized geometry; formation energy = -16 meV/atom
1.0
5.195 0.000 0.000
-2.598 4.499 0.000
0.000 0.000 4.318
Np Co
2 6
Direct
0.333 0.667 0.250
0.667 0.333 0.750
0.163 0.327 0.750
0.163 0.837 0.750
0.327 0.163 0.250
0.673 0.837 0.750
0.837 0.163 0.250
0.837 0.673 0.250

No. 10
Ta2SeS3 PBE-GGA optimized geometry; E = -7.59 eV per atom
1.0
5.840 0.000 0.000
0.000 3.366 0.000
-2.918 0.000 11.264
Ta Se S
2 1 3
Direct
0.000 0.000 0.000
0.481 0.500 0.000
0.734 0.000 0.152
0.085 0.500 0.860
0.225 0.500 0.139
0.593 0.000 0.868

No. 11
GdErZr2As2 PBE-GGA optimized geometry; E = -6.93 eV per atom
1.0
-2.045 2.045 7.960
2.045 -2.045 7.960
2.045 2.045 -7.960
Gd Er Zr As
1 1 2 2
Direct
0.000 0.000 0.000
0.356 0.356 0.000
0.179 0.679 0.500
0.679 0.179 0.500
0.546 0.546 0.000
0.811 0.811 0.000

No. 12
Hg3Pd7 PBE-GGA optimized geometry; formation energy = -105 meV/atom
1.0
8.381 0.000 0.000
0.000 4.592 0.000
-2.561 0.000 8.903
Hg Pd
6 14
Direct
0.087 0.250 0.273
0.302 0.250 0.070
0.308 0.250 0.584
0.692 0.750 0.416
0.698 0.750 0.930
0.913 0.750 0.727
0.103 0.250 0.775
0.105 0.750 0.028
0.105 0.750 0.523
0.297 0.750 0.325
0.298 0.750 0.822
0.495 0.750 0.121
0.498 0.250 0.373
0.502 0.750 0.627
0.505 0.250 0.879
0.702 0.250 0.178
0.703 0.250 0.675
0.895 0.250 0.477
0.895 0.250 0.972
0.897 0.750 0.225